# 1
The following is a PBE-GGA calculation of TbBe2TeO8 after structural relaxation, from Alexandria.

a b c (Å): 5.2350 5.2350 6.3755
angles (deg): 90.00 90.00 120.00
Space group P-3m1 (No. 164)
Asymmetric unit:
Tb  0.0000  0.0000  0.0000 [1 per cell]
Be  0.3333  0.6667  0.2552 [2 per cell]
Te  0.0000  0.0000  0.5000 [1 per cell]
O  0.1607  0.3214  0.3021 [6 per cell]
O  0.3333  0.6667  0.9966 [2 per cell]

## Properties
D(E_F)   6.22 states/eV/f.u.
M_tot   2.9 μB/cell
Formation energy without anion corrections   -1564 meV/atom

=====

# 2
The following is a PBE-GGA calculation of KTl2Ag after structural relaxation, from Alexandria.

a b c (Å): 5.1125 5.4475 8.4469
angles (deg): 90.00 90.00 90.00
Space group Imm2 (No. 44)
Asymmetric unit:
K  0.0000  0.0000  0.0000 [2 per cell]
Tl  0.0000  0.0000  0.5153 [2 per cell]
Tl  0.0000  0.5000  0.7641 [2 per cell]
Ag  0.0000  0.5000  0.2322 [2 per cell]

## Properties
D(E_F)   1.50 states/eV/f.u.
M_tot   0.0 μB/cell
E_form   0.059 eV per atom

=====

# 3
The following is a PBE-GGA calculation of Ni21B6Ir2 after structural relaxation, from Alexandria.

a b c (Å): 10.5057 10.5057 10.5057
angles (deg): 90.00 90.00 90.00
Space group Fm-3m (No. 225)
Asymmetric unit:
Ni  0.0000  0.0000  0.0000 [4 per cell]
Ni  0.0000  0.1696  0.1696 [48 per cell]
Ni  0.1163  0.1163  0.3837 [32 per cell]
B  0.0000  0.0000  0.2710 [24 per cell]
Ir  0.2500  0.2500  0.2500 [8 per cell]

## Properties
D(E_F)   37.24 states/eV/f.u.
M_tot   15.0 μB/cell
E_form   -0.172 eV per atom

=====

# 4
The following is a PBE-GGA calculation of KSc2Ag after structural relaxation, from Alexandria.

a b c (Å): 10.1707 3.2885 7.5187
angles (deg): 90.00 97.58 90.00
Space group Cm (No. 8)
Asymmetric unit:
K  0.0000  0.0000  0.0000 [2 per cell]
Sc  0.2180  0.0000  0.6422 [2 per cell]
Sc  0.4785  0.0000  0.4693 [2 per cell]
Ag  0.2436  0.5000  0.3304 [2 per cell]

## Properties
D(E_F)   5.43 states/eV/f.u.
M_tot   2.3 μB/cell
E_form   0.352 eV per atom

=====

# 5
The following is a PBE-GGA calculation of HfNi2SnBr after structural relaxation, from Alexandria.

a b c (Å): 4.3913 4.3913 5.0739
angles (deg): 90.00 90.00 90.00
Space group P4/mmm (No. 123)
Asymmetric unit:
Hf  0.0000  0.0000  0.0000 [1 per cell]
Ni  0.0000  0.5000  0.5000 [2 per cell]
Sn  0.5000  0.5000  0.0000 [1 per cell]
Br  0.0000  0.0000  0.5000 [1 per cell]

## Properties
D(E_F)   2.73 states/eV/f.u.
M_tot   0.0 μB/cell
Formation energy without anion corrections   501 meV/atom

=====

# 6
The following is a PBE-GGA calculation of Ac5Pr2Nd2 after structural relaxation, from Alexandria.

a b c (Å): 10.2270 5.9797 12.9597
angles (deg): 90.00 105.59 90.00
Space group C2/m (No. 12)
Asymmetric unit:
Ac  0.0000  0.0000  0.0000 [2 per cell]
Ac  0.1942  0.0000  0.5760 [4 per cell]
Ac  0.2064  0.5000  0.1281 [4 per cell]
Pr  0.0789  0.5000  0.7258 [4 per cell]
Nd  0.0888  0.0000  0.2790 [4 per cell]

## Properties
D(E_F)   13.18 states/eV/f.u.
Offset from the most stable computed form   0.0000 eV per atom
M_tot   0.0 μB/cell
E_form   0.193 eV per atom